Record 1
Below is ZnSbPbI2 after structural relaxation, with properties calculated at the PBE level.

* distance to the lowest polymorph of the same formula: 0.0000 eV per atom
* volume: 33.40 Å³/atom
* total magnetic moment: 0.0 μB/f.u.
* raw total energy: -11.48 eV/f.u.
* formation energy from raw total energies: 0.145 eV/atom
* symmetry: No. 123

Cell lengths 5.5238, 5.5238, 5.4735 Å; angles 90.00, 90.00, 90.00 degrees
With the nearest neighbours (Å) after each atom.
Fractional coordinates of all 5 atoms:
Zn (0.0000, 0.0000, 0.0000)  2 Sb 2.74, 4 I 2.76
I (0.0000, 0.5000, 0.0000)  2 Zn 2.76
I (0.5000, 0.0000, 0.0000)  2 Zn 2.76
Sb (0.0000, 0.0000, 0.5000)  2 Zn 2.74
Pb (0.5000, 0.5000, 0.5000)  8 I 3.89, 4 Sb 3.91

=====

Record 2
Below is ZnSbPbI2 after structural relaxation, with properties calculated at the PBE level.

* distance to the lowest polymorph of the same formula: 0.1955 eV per atom
* volume: 48.28 Å³/atom
* total magnetic moment: 2.0 μB/f.u.
* raw total energy: -10.50 eV/f.u.
* formation energy from raw total energies: 0.340 eV/atom
* symmetry: No. 123

Cell lengths 6.2626, 6.2626, 6.1547 Å; angles 90.00, 90.00, 90.00 degrees
With the nearest neighbours (Å) after each atom.
Fractional coordinates of all 5 atoms:
Sb (0.0000, 0.0000, 0.5000)  2 Pb 3.08
I (0.5000, 0.0000, 0.0000)  2 Pb 3.13
I (0.0000, 0.5000, 0.0000)  2 Pb 3.13
Pb (0.0000, 0.0000, 0.0000)  2 Sb 3.08, 4 I 3.13
Zn (0.5000, 0.5000, 0.5000)  8 I 4.39, 4 Sb 4.43

=====

Record 3
Below is Sc3PbI after structural relaxation, with properties calculated at the PBE level.

* distance to the lowest polymorph of the same formula: 0.1042 eV per atom
* volume: 34.34 Å³/atom
* total magnetic moment: 3.6 μB/f.u.
* raw total energy: -22.50 eV/f.u.
* formation energy from raw total energies: 0.351 eV/atom
* symmetry: No. 221

Cell lengths 5.5580, 5.5580, 5.5580 Å; angles 90.00, 90.00, 90.00 degrees
With the nearest neighbours (Å) after each atom.
Fractional coordinates of all 5 atoms:
Sc (0.5000, 0.0000, 0.0000)  2 Pb 2.78
Sc (0.0000, 0.5000, 0.0000)  2 Pb 2.78
Sc (0.0000, 0.0000, 0.5000)  2 Pb 2.78
Pb (0.0000, 0.0000, 0.0000)  6 Sc 2.78
I (0.5000, 0.5000, 0.5000)  12 Sc 3.93

=====

Record 4
Below is Sc7PbI12 after structural relaxation, with properties calculated at the PBE level.

* volume: 34.04 Å³/atom
* total magnetic moment: 0.5 μB/f.u.
* raw total energy: -86.82 eV/f.u.
* formation energy from raw total energies: -1.009 eV/atom
* symmetry: No. 148

Cell lengths 9.4326, 9.4326, 9.4326 Å; angles 107.92, 107.92, 107.92 degrees
With the nearest neighbours (Å) after each atom.
Fractional coordinates of all 20 atoms:
I (0.3115, 0.7741, 0.9234)  3 Sc 2.95-3.08
I (0.8442, 0.6122, 0.5364)  3 Sc 2.96-2.98
I (0.6885, 0.2259, 0.0766)  3 Sc 2.95-3.08
I (0.3878, 0.4636, 0.1558)  3 Sc 2.96-2.98
I (0.0766, 0.6885, 0.2259)  3 Sc 2.95-3.08
I (0.9234, 0.3115, 0.7741)  3 Sc 2.95-3.08
I (0.1558, 0.3878, 0.4636)  3 Sc 2.96-2.98
I (0.6122, 0.5364, 0.8442)  3 Sc 2.96-2.98
I (0.4636, 0.1558, 0.3878)  3 Sc 2.96-2.98
I (0.5364, 0.8442, 0.6122)  3 Sc 2.96-2.98
I (0.7741, 0.9234, 0.3115)  3 Sc 2.95-3.08
I (0.2259, 0.0766, 0.6885)  3 Sc 2.95-3.08
Sc (0.9602, 0.6694, 0.8895)  1 Pb 2.83, 5 I 2.95-3.08
Sc (0.3306, 0.1105, 0.0398)  1 Pb 2.83, 5 I 2.95-3.08
Sc (0.5000, 0.5000, 0.5000)  6 I 2.96
Sc (0.6694, 0.8895, 0.9602)  1 Pb 2.83, 5 I 2.95-3.08
Sc (0.8895, 0.9602, 0.6694)  1 Pb 2.83, 5 I 2.95-3.08
Sc (0.0398, 0.3306, 0.1105)  1 Pb 2.83, 5 I 2.95-3.08
Sc (0.1105, 0.0398, 0.3306)  1 Pb 2.83, 5 I 2.95-3.08
Pb (0.0000, 0.0000, 0.0000)  6 Sc 2.83